No. 1
A plane-wave DFT calculation with PBE was carried out for a geometry-optimized CoSeIN2 structure.

Summary:
ΔE_f (raw) in eV/atom: 2.002
Distance to the lowest polymorph of the same formula in meV/atom: 665.3
ρ in g cm⁻³: 5.099

The structure in CIF format:
```
data_CoSeIN2
_chemical_formula_sum 'Co1 Se1 I1 N2'
_space_group_name_H-M_alt 'P 4/m m m'
_space_group_IT_number 123
_space_group_name_Hall '-P 4 2'
_cell_length_a 3.888
_cell_length_b 3.888
_cell_length_c 6.307
_cell_angle_alpha 90.00
_cell_angle_beta 90.00
_cell_angle_gamma 90.00
loop_
_atom_site_label
_atom_site_fract_x
_atom_site_fract_y
_atom_site_fract_z
Co1 0.000 0.000 0.000
Se1 0.500 0.500 0.000
I1 0.500 0.500 0.500
N1 0.000 0.500 0.500
```

=====

No. 2
A plane-wave DFT calculation with PBE was carried out for a geometry-optimized Cu2IrAu structure.

Summary:
Formation energy in eV/atom: 0.22
ρ in g cm⁻³: 14.660

The structure in CIF format:
```
data_Cu2IrAu
_chemical_formula_sum 'Cu4 Ir2 Au2'
_space_group_name_H-M_alt 'C m m 2'
_space_group_IT_number 35
_space_group_name_Hall 'C 2 -2'
_cell_length_a 2.771
_cell_length_b 4.634
_cell_length_c 9.109
_cell_angle_alpha 90.00
_cell_angle_beta 90.00
_cell_angle_gamma 90.00
loop_
_atom_site_label
_atom_site_fract_x
_atom_site_fract_y
_atom_site_fract_z
Cu1 0.000 0.000 0.000
Cu2 0.000 0.500 0.224
Ir1 0.000 0.500 0.762
Au1 0.000 0.000 0.479
```

=====

No. 3
A plane-wave DFT calculation with PBE was carried out for a geometry-optimized PW structure.

Summary:
Formation energy in eV/atom: 0.12
ρ in g cm⁻³: 10.864

The structure in CIF format:
```
data_PW
_chemical_formula_sum 'P2 W2'
_space_group_name_H-M_alt 'P 63 m c'
_space_group_IT_number 186
_space_group_name_Hall 'P 6c -2c'
_cell_length_a 3.0416
_cell_length_b 3.0416
_cell_length_c 8.1960
_cell_angle_alpha 90.00
_cell_angle_beta 90.00
_cell_angle_gamma 120.00
loop_
_atom_site_label
_atom_site_fract_x
_atom_site_fract_y
_atom_site_fract_z
P1 0.3333 0.6667 0.0000
W1 0.3333 0.6667 0.2997
```

=====

No. 4
A plane-wave DFT calculation with PBE was carried out for a geometry-optimized TlAg2Au structure.

Summary:
Formation energy in eV/atom: 0.06
Distance to the lowest polymorph of the same formula in meV/atom: 3.1
ρ in g cm⁻³: 12.648

The structure in CIF format:
```
data_TlAg2Au
_chemical_formula_sum 'Tl1 Ag2 Au1'
_space_group_name_H-M_alt 'P m m 2'
_space_group_IT_number 25
_space_group_name_Hall 'P 2 -2'
_cell_length_a 3.415
_cell_length_b 3.901
_cell_length_c 6.081
_cell_angle_alpha 90.00
_cell_angle_beta 90.00
_cell_angle_gamma 90.00
loop_
_atom_site_label
_atom_site_fract_x
_atom_site_fract_y
_atom_site_fract_z
Tl1 0.000 0.000 0.000
Ag1 0.000 0.000 0.502
Ag2 0.500 0.500 0.270
Au1 0.500 0.500 0.736
```